Record 1
# Cd5Ag5Au (PBE, relaxed)
# Magnetic moment (μB per formula unit): 0.0
data_Cd5Ag5Au
_space_group_name_H-M_alt 'P -6 m 2'
_space_group_IT_number 187
_space_group_name_Hall 'P -6 2'
_cell_length_a 5.2268
_cell_length_b 5.2268
_cell_length_c 10.0405
_cell_angle_alpha 90.00
_cell_angle_beta 90.00
_cell_angle_gamma 120.00
loop_
_atom_site_label
_atom_site_type_symbol
_atom_site_fract_x
_atom_site_fract_y
_atom_site_fract_z
_atom_site_occupancy
Cd1 Cd 0.0000 0.0000 0.0000 1
Cd2 Cd 0.3333 0.6667 0.3026 1
Cd3 Cd 0.6667 0.3333 0.1674 1
Ag1 Ag 0.0000 0.0000 0.2636 1
Ag2 Ag 0.3363 0.1681 0.5000 1
Au1 Au 0.3333 0.6667 0.0000 1

=====

Record 2
# Cd7AgAu3 (PBE, relaxed)
# Magnetic moment (μB per formula unit): 0.0
data_Cd7AgAu3
_space_group_name_H-M_alt 'C m c m'
_space_group_IT_number 63
_space_group_name_Hall '-C 2c 2'
_cell_length_a 3.073
_cell_length_b 30.752
_cell_length_c 11.696
_cell_angle_alpha 90.00
_cell_angle_beta 90.00
_cell_angle_gamma 90.00
loop_
_atom_site_label
_atom_site_type_symbol
_atom_site_fract_x
_atom_site_fract_y
_atom_site_fract_z
_atom_site_occupancy
Cd1 Cd 0.000 0.013 0.122 1
Cd2 Cd 0.000 0.088 0.750 1
Cd3 Cd 0.000 0.127 0.075 1
Cd4 Cd 0.000 0.228 0.090 1
Ag1 Ag 0.000 0.423 0.750 1
Au1 Au 0.000 0.324 0.750 1
Au2 Au 0.000 0.435 0.053 1

=====

Record 3
# CdAg6Au2 (PBE, relaxed)
# Magnetic moment (μB per formula unit): 0.0
data_CdAg6Au2
_space_group_name_H-M_alt 'C 1 2/c 1'
_space_group_IT_number 15
_space_group_name_Hall '-C 2yc'
_cell_length_a 11.914
_cell_length_b 9.891
_cell_length_c 6.414
_cell_angle_alpha 90.00
_cell_angle_beta 102.63
_cell_angle_gamma 90.00
loop_
_atom_site_label
_atom_site_type_symbol
_atom_site_fract_x
_atom_site_fract_y
_atom_site_fract_z
_atom_site_occupancy
Cd1 Cd 0.000 0.154 0.250 1
Ag1 Ag 0.048 0.371 0.575 1
Ag2 Ag 0.107 0.102 0.697 1
Ag3 Ag 0.239 0.132 0.128 1
Au1 Au 0.156 0.381 0.236 1

=====

Record 4
# Cd4Ag3Au5 (PBE, relaxed)
# Magnetic moment (μB per formula unit): 0.0
data_Cd4Ag3Au5
_space_group_name_H-M_alt 'C 1 2/m 1'
_space_group_IT_number 12
_space_group_name_Hall '-C 2y'
_cell_length_a 10.739
_cell_length_b 5.277
_cell_length_c 9.748
_cell_angle_alpha 90.00
_cell_angle_beta 106.74
_cell_angle_gamma 90.00
loop_
_atom_site_label
_atom_site_type_symbol
_atom_site_fract_x
_atom_site_fract_y
_atom_site_fract_z
_atom_site_occupancy
Cd1 Cd 0.195 0.000 0.401 1
Cd2 Cd 0.228 0.000 0.923 1
Ag1 Ag 0.000 0.000 0.000 1
Ag2 Ag 0.128 0.500 0.771 1
Au1 Au 0.000 0.500 0.000 1
Au2 Au 0.079 0.000 0.639 1
Au3 Au 0.144 0.500 0.299 1

=====

no.,raw total energy (eV per cell)
1,-20.63
2,-78.30
3,-93.15
4,-55.45